# 1
{
  "formula": "AcPa2BeO8",
  "functional": "PBE-GGA",
  "state": "relaxed",
  "cell": [[4.9399, 0.0000, 0.0000], [-2.4700, 4.2781, 0.0000], [0.0000, 0.0000, 6.9470]],
  "species": ["Ac", "Pa", "Pa", "Be", "O", "O", "O", "O", "O", "O", "O", "O"],
  "frac_coords": [[0.0000, 0.0000, 0.0000], [0.3333, 0.6667, 0.3644], [0.6667, 0.3333, 0.6356], [0.0000, 0.0000, 0.5000], [0.1658, 0.3317, 0.6543], [0.1658, 0.8342, 0.6543], [0.3317, 0.1658, 0.3457], [0.3333, 0.6667, 0.0792], [0.6667, 0.3333, 0.9208], [0.6683, 0.8342, 0.6543], [0.8342, 0.1658, 0.3457], [0.8342, 0.6683, 0.3457]],
  "dft_energy_ev_per_atom": -8.45
}

***

# 2
{
  "formula": "Ce2As4IrPd3",
  "functional": "PBE-GGA",
  "state": "relaxed",
  "cell": [[4.4340, 0.0000, 0.0000], [0.0000, 4.4340, 0.0000], [0.0000, 0.0000, 9.8269]],
  "species": ["Ce", "Ce", "As", "As", "As", "As", "Ir", "Pd", "Pd", "Pd"],
  "frac_coords": [[0.0000, 0.5000, 0.2505], [0.5000, 0.0000, 0.7495], [0.0000, 0.0000, 0.0000], [0.0000, 0.5000, 0.6287], [0.5000, 0.0000, 0.3713], [0.5000, 0.5000, 0.0000], [0.0000, 0.0000, 0.5000], [0.0000, 0.5000, 0.8775], [0.5000, 0.0000, 0.1225], [0.5000, 0.5000, 0.5000]],
  "dft_energy_ev_per_atom": -6.27,
  "e_form_ev_per_atom": -0.777
}

***

# 3
{
  "formula": "La2Tb6PrEr3",
  "functional": "PBE-GGA",
  "state": "relaxed",
  "cell": [[3.1131, -5.3936, 0.0000], [3.1131, 5.3936, 0.0000], [-2.0778, 0.0000, 11.7174]],
  "species": ["La", "La", "Tb", "Tb", "Tb", "Tb", "Tb", "Tb", "Pr", "Er", "Er", "Er"],
  "frac_coords": [[0.1666, 0.8334, 0.0000], [0.8334, 0.1666, 0.0000], [0.0807, 0.4138, 0.7433], [0.2532, 0.2532, 0.2566], [0.4138, 0.0807, 0.7433], [0.5862, 0.9193, 0.2567], [0.7468, 0.7468, 0.7434], [0.9193, 0.5862, 0.2567], [0.5000, 0.5000, 0.0000], [0.0000, 0.0000, 0.5000], [0.3334, 0.6666, 0.5000], [0.6666, 0.3334, 0.5000]],
  "dft_energy_ev_per_atom": -4.65,
  "e_form_ev_per_atom": 0.023
}

***

# 4
{
  "formula": "HfPS2I",
  "functional": "PBE-GGA",
  "state": "relaxed",
  "cell": [[4.8242, 0.0000, 0.0000], [0.0000, 4.8242, 0.0000], [0.0000, 0.0000, 5.5135]],
  "species": ["Hf", "P", "S", "S", "I"],
  "frac_coords": [[0.0000, 0.0000, 0.0000], [0.0000, 0.0000, 0.5000], [0.0000, 0.5000, 0.0000], [0.5000, 0.0000, 0.0000], [0.5000, 0.5000, 0.5000]],
  "polymorph_energy_ev_per_atom": 0.000,
  "dft_energy_ev_per_atom": -5.17
}